(1)
Zr5Sn3S: PBEsol geometry, SCAN.

Unit cell a=8.4603 b=8.4603 c=5.9124 alpha=90.00 beta=90.00 gamma=120.00
Space group P6_3/mcm (No. 193)
Inequivalent atoms, fractional coordinates:
1 Zr 0.0000 0.2511 0.2500
2 Zr 0.3333 0.6667 0.0000
3 Sn 0.0000 0.3994 0.7500
4 S 0.0000 0.0000 0.0000

Output
energy relative to the elements, uncorrected = -1.02 eV/atom
spin magnetization = 0.0 μB per formula unit
density of states at the Fermi level = 0.37 states/eV/atom
calculated total energy = -31.122 eV/atom

---

(2)
SbMoP: PBEsol geometry, SCAN.

Unit cell a=4.2285 b=4.2285 c=3.3870 alpha=90.00 beta=90.00 gamma=120.00
Space group P-6m2 (No. 187)
Inequivalent atoms, fractional coordinates:
1 Sb 0.0000 0.0000 0.0000
2 Mo 0.3333 0.6667 0.5000
3 P 0.6667 0.3333 0.5000

Output
energy relative to the elements, uncorrected = 0.25 eV/atom
spin magnetization = 0.0 μB per formula unit
excess energy over the best structure of this formula in the dataset = 0.00 eV/f.u.
density of states at the Fermi level = 0.79 states/eV/atom
calculated total energy = -27.262 eV/atom